Record 1
# Ce3InSb3

Crystalline Ce3InSb3 at its relaxed geometry (PBE, Alexandria).

Cell lengths 9.2711, 9.2711, 6.1464 Å; angles 90.00, 90.00, 120.00 degrees
With the nearest neighbours (Å) after each atom.
Fractional coordinates of all 14 atoms:
Ce 0.0837 0.4074 0.2500  5 Sb 3.10-3.33
Ce 0.3238 0.9163 0.2500  5 Sb 3.10-3.33
Ce 0.4074 0.3238 0.7500  5 Sb 3.10-3.33
Ce 0.5926 0.6762 0.2500  5 Sb 3.10-3.33
Ce 0.6762 0.0837 0.7500  5 Sb 3.10-3.33
Ce 0.9163 0.5926 0.7500  5 Sb 3.10-3.33
In 0.3333 0.6667 0.7500  3 Sb 2.91
In 0.6667 0.3333 0.2500  3 Sb 2.91
Sb 0.0579 0.3256 0.7500  1 In 2.91, 4 Ce 3.10-3.25
Sb 0.2676 0.9421 0.7500  1 In 2.91, 4 Ce 3.10-3.25
Sb 0.3256 0.2676 0.2500  1 In 2.91, 4 Ce 3.10-3.25
Sb 0.6744 0.7324 0.7500  1 In 2.91, 4 Ce 3.10-3.25
Sb 0.7324 0.0579 0.2500  1 In 2.91, 4 Ce 3.10-3.25
Sb 0.9421 0.6744 0.2500  1 In 2.91, 4 Ce 3.10-3.25

## Properties
For the size of the total moment, the calculation gives 3.455 μB per formula unit. The raw formation energy comes out at -0.63 eV per atom.

---

Record 2
# KBaTa2

Crystalline KBaTa2 at its relaxed geometry (PBE, Alexandria).

Cell lengths 3.6139, 3.6139, 10.4882 Å; angles 90.00, 90.00, 90.00 degrees
With the nearest neighbours (Å) after each atom.
Fractional coordinates of all 4 atoms:
K 0.0000 0.0000 0.0000  4 K 3.61, 5 Ta 3.79-3.81
Ba 0.5000 0.5000 0.6005  5 Ta 3.50-3.56, 4 Ba 3.61
Ta 0.0000 0.0000 0.3635  4 Ta 2.75
Ta 0.5000 0.5000 0.2668  4 Ta 2.75

## Properties
For the size of the total moment, the calculation gives 0.005 μB per formula unit. Its formation energy from the elements is 280 kJ/mol of formula units. The excess energy over the best structure of this formula in the dataset comes out at 0 meV/atom.

---

Record 3
# Na2LiTa

Crystalline Na2LiTa at its relaxed geometry (PBE, Alexandria).

Cell lengths 5.1205, 5.1205, 5.1205 Å; angles 60.00, 60.00, 60.00 degrees
With the nearest neighbours (Å) after each atom.
Fractional coordinates of all 4 atoms:
Na 0.2500 0.2500 0.2500  4 Ta 3.14, 4 Li 3.14
Na 0.7500 0.7500 0.7500  4 Ta 3.14, 4 Li 3.14
Li 0.0000 0.0000 0.0000  8 Na 3.14
Ta 0.5000 0.5000 0.5000  8 Na 3.14

## Properties
For the size of the total moment, the calculation gives 0.000 μB per formula unit. Its formation energy from the elements is 515 kJ/mol of formula units. The excess energy over the best structure of this formula in the dataset comes out at 119 meV/atom.

---

Record 4
# ScTcOs2

Crystalline ScTcOs2 at its relaxed geometry (PBE, Alexandria).

Cell lengths 4.4359, 4.4359, 4.4359 Å; angles 60.00, 60.00, 60.00 degrees
With the nearest neighbours (Å) after each atom.
Fractional coordinates of all 4 atoms:
Sc 0.0000 0.0000 0.0000  4 Tc 2.72, 4 Os 2.72
Tc 0.2500 0.2500 0.2500  4 Os 2.72, 4 Sc 2.72
Os 0.5000 0.5000 0.5000  4 Os 2.72, 4 Tc 2.72
Os 0.7500 0.7500 0.7500  4 Os 2.72, 4 Sc 2.72

## Properties
For the size of the total moment, the calculation gives 0.001 μB per formula unit. Its formation energy from the elements is 38 kJ/mol of formula units. The excess energy over the best structure of this formula in the dataset comes out at 165 meV/atom.

---

Record 5
# PmPuPPt

Crystalline PmPuPPt at its relaxed geometry (PBE, Alexandria).

Cell lengths 5.0066, 5.0066, 5.0066 Å; angles 60.00, 60.00, 60.00 degrees
With the nearest neighbours (Å) after each atom.
Fractional coordinates of all 4 atoms:
Pm 0.0000 0.0000 0.0000  4 Pt 3.07, 4 P 3.07
Pu 0.5000 0.5000 0.5000  4 Pt 3.07, 4 P 3.07
P 0.2500 0.2500 0.2500  4 Pm 3.07, 4 Pu 3.07
Pt 0.7500 0.7500 0.7500  4 Pm 3.07, 4 Pu 3.07

## Properties
For the size of the total moment, the calculation gives 6.004 μB per formula unit. Its formation energy from the elements is -337 kJ/mol of formula units.

---

Record 6
# Ac2CdBi

Crystalline Ac2CdBi at its relaxed geometry (PBE, Alexandria).

Cell lengths 4.2956, 4.2956, 7.6434 Å; angles 90.00, 90.00, 90.00 degrees
With the nearest neighbours (Å) after each atom.
Fractional coordinates of all 4 atoms:
Ac 0.0000 0.0000 0.2460  4 Bi 3.57, 4 Cd 3.60, 2 Ac 3.76-3.88
Ac 0.0000 0.0000 0.7540  4 Bi 3.57, 4 Cd 3.60, 2 Ac 3.76-3.88
Cd 0.5000 0.5000 0.5000  8 Ac 3.60, 2 Bi 3.82
Bi 0.5000 0.5000 0.0000  8 Ac 3.57, 2 Cd 3.82

## Properties
For the size of the total moment, the calculation gives 0.001 μB per formula unit. Its formation energy from the elements is -210 kJ/mol of formula units. The excess energy over the best structure of this formula in the dataset comes out at 0 meV/atom.

---

Record 7
# Ce5Ir2Pt2

Crystalline Ce5Ir2Pt2 at its relaxed geometry (PBE, Alexandria).

Cell lengths 9.9257, 9.9257, 9.9257 Å; angles 62.31, 137.91, 136.27 degrees
With the nearest neighbours (Å) after each atom.
Fractional coordinates of all 18 atoms:
Ce 0.1400 0.0254 0.6146  2 Ir 2.68-2.96
Ce 0.1784 0.0665 0.2449  2 Ir 2.83-2.93, 2 Pt 2.85-2.90
Ce 0.1784 0.4335 0.6119  2 Ir 2.83-2.93, 2 Pt 2.85-2.90
Ce 0.4108 0.5254 0.3854  2 Ir 2.68-2.96
Ce 0.4839 0.9997 0.1766  2 Pt 2.77-2.85, 2 Ir 2.89-2.91
Ce 0.4839 0.8074 0.9843  2 Pt 2.77-2.85, 2 Ir 2.89-2.91
Ce 0.8216 0.5665 0.3881  2 Ir 2.83-2.93, 2 Pt 2.85-2.90
Ce 0.8216 0.9335 0.7551  2 Ir 2.83-2.93, 2 Pt 2.85-2.90
Ce 0.8231 0.3074 0.8234  2 Pt 2.77-2.85, 2 Ir 2.89-2.91
Ce 0.8231 0.4997 0.0157  2 Pt 2.77-2.85, 2 Ir 2.89-2.91
Ir 0.6935 0.1935 0.5000  6 Ce 2.83-2.93, 2 Pt 3.02
Ir 0.6935 0.6935 0.0000  6 Ce 2.83-2.93, 2 Pt 3.02
Ir 0.9283 0.1918 0.2365  4 Ce 2.68-2.96
Ir 0.9553 0.6918 0.7635  4 Ce 2.68-2.96
Pt 0.2945 0.4120 0.0436  4 Ce 2.77-2.90, 1 Pt 2.79, 1 Ir 3.02
Pt 0.2945 0.7509 0.3824  4 Ce 2.77-2.90, 1 Pt 2.79, 1 Ir 3.02
Pt 0.3685 0.2509 0.9564  4 Ce 2.77-2.90, 1 Pt 2.79, 1 Ir 3.02
Pt 0.3685 0.9120 0.6176  4 Ce 2.77-2.90, 1 Pt 2.79, 1 Ir 3.02

## Properties
For the size of the total moment, the calculation gives 3.190 μB per formula unit. Its formation energy from the elements is -646 kJ/mol of formula units. The excess energy over the best structure of this formula in the dataset comes out at 81 meV/atom.

---

Record 8
# DyTePd2

Crystalline DyTePd2 at its relaxed geometry (PBE, Alexandria).

Cell lengths 4.3380, 4.3380, 4.3094 Å; angles 90.00, 90.00, 90.00 degrees
With the nearest neighbours (Å) after each atom.
Fractional coordinates of all 4 atoms:
Dy 0.0000 0.0000 0.0000  8 Pd 3.06, 4 Te 3.07
Te 0.5000 0.5000 0.0000  8 Pd 3.06, 4 Dy 3.07
Pd 0.0000 0.5000 0.5000  4 Dy 3.06, 4 Te 3.06, 4 Pd 3.07
Pd 0.5000 0.0000 0.5000  4 Dy 3.06, 4 Te 3.06, 4 Pd 3.07

## Properties
For the size of the total moment, the calculation gives 0.000 μB per formula unit. The raw formation energy comes out at -0.75 eV per atom. The excess energy over the best structure of this formula in the dataset comes out at 0 meV/atom.

---

Record 9
# CaZr2Tl

Crystalline CaZr2Tl at its relaxed geometry (PBE, Alexandria).

Cell lengths 5.5769, 5.5769, 5.9822 Å; angles 99.24, 99.24, 34.13 degrees
With the nearest neighbours (Å) after each atom.
Fractional coordinates of all 4 atoms:
Ca 0.0000 0.0000 0.0000  3 Tl 3.19-3.22, 2 Ca 3.27, 5 Zr 3.36-3.47
Zr 0.2283 0.2283 0.6762  5 Zr 3.07-3.27, 2 Tl 3.19, 1 Ca 3.36
Zr 0.4876 0.4876 0.5069  5 Zr 3.07-3.27, 2 Tl 3.24, 2 Ca 3.36
Tl 0.7495 0.7495 0.2265  5 Zr 3.19-3.49, 3 Ca 3.19-3.22, 2 Tl 3.27

## Properties
For the size of the total moment, the calculation gives 0.000 μB per formula unit. Its formation energy from the elements is 48 kJ/mol of formula units. The excess energy over the best structure of this formula in the dataset comes out at 162 meV/atom.

---

Record 10
# LiCaSe2

Crystalline LiCaSe2 at its relaxed geometry (PBE, Alexandria).

Cell lengths 4.9895, 4.9895, 4.9895 Å; angles 60.00, 60.00, 60.00 degrees
With the nearest neighbours (Å) after each atom.
Fractional coordinates of all 4 atoms:
Li 0.0000 0.0000 0.0000  8 Se 3.06
Ca 0.5000 0.5000 0.5000  8 Se 3.06
Se 0.2500 0.2500 0.2500  4 Li 3.06, 4 Ca 3.06
Se 0.7500 0.7500 0.7500  4 Li 3.06, 4 Ca 3.06

## Properties
For the size of the total moment, the calculation gives 0.000 μB per formula unit. The raw formation energy comes out at -1.17 eV per atom.

---

Record 11
# Er2SiHPt6

Crystalline Er2SiHPt6 at its relaxed geometry (PBE, Alexandria).

Cell lengths 5.6300, 5.6300, 6.7931 Å; angles 114.57, 114.57, 59.99 degrees
With the nearest neighbours (Å) after each atom.
Fractional coordinates of all 10 atoms:
Er 0.2149 0.2149 0.1454  9 Pt 2.96-3.12
Er 0.7851 0.7851 0.8546  9 Pt 2.96-3.12
Si 0.5000 0.5000 0.0000  6 Pt 2.41
H 0.0000 0.0000 0.5000  6 Pt 2.02-2.03
Pt 0.2345 0.2345 0.7001  1 H 2.02
Pt 0.2348 0.7317 0.7005  1 H 2.03
Pt 0.2683 0.7652 0.2995  1 H 2.03
Pt 0.7317 0.2348 0.7005  1 H 2.03
Pt 0.7652 0.2683 0.2995  1 H 2.03
Pt 0.7655 0.7655 0.2999  1 H 2.02

## Properties
The value obtained for the total energy is -63.47 eV for the cell shown. For the size of the total moment, the calculation gives 0.000 μB per formula unit.

---

Record 12
# TbPrSi2

Crystalline TbPrSi2 at its relaxed geometry (PBE, Alexandria).

Cell lengths 3.9087, 5.8548, 5.8548 Å; angles 44.27, 90.00, 90.00 degrees
With the nearest neighbours (Å) after each atom.
Fractional coordinates of all 4 atoms:
Tb 0.0000 0.0000 0.0000  7 Si 3.03-3.17
Pr 0.5000 0.2800 0.2800  7 Si 3.04-3.22
Si 0.0000 0.7095 0.7095  2 Si 2.51
Si 0.5000 0.5636 0.5636  2 Si 2.51

## Properties
For the size of the total moment, the calculation gives 0.000 μB per formula unit. The raw formation energy comes out at -0.77 eV per atom. The excess energy over the best structure of this formula in the dataset comes out at 3 meV/atom.

---

Record 13
# Rb2LiF3

Crystalline Rb2LiF3 at its relaxed geometry (PBE, Alexandria).

Cell lengths 7.9038, 3.7557, 15.0787 Å; angles 90.00, 90.00, 90.00 degrees
With the nearest neighbours (Å) after each atom.
Fractional coordinates of all 24 atoms:
Rb 0.0820 0.2500 0.2114  7 F 2.78-2.88
Rb 0.2440 0.2500 0.9505  4 F 2.73-2.95
Rb 0.2560 0.7500 0.4505  4 F 2.73-2.95
Rb 0.4180 0.7500 0.7114  7 F 2.78-2.88
Rb 0.5820 0.2500 0.2886  7 F 2.78-2.88
Rb 0.7440 0.2500 0.5495  4 F 2.73-2.95
Rb 0.7560 0.7500 0.0495  4 F 2.73-2.95
Rb 0.9180 0.7500 0.7886  7 F 2.78-2.88
Li 0.1332 0.2500 0.6328  4 F 1.90-2.08
Li 0.3668 0.7500 0.1328  4 F 1.90-2.08
Li 0.6332 0.2500 0.8672  4 F 1.90-2.08
Li 0.8668 0.7500 0.3672  4 F 1.90-2.08
F 0.0305 0.7500 0.6066  2 Li 2.08
F 0.1552 0.7500 0.0737  1 Li 1.90
F 0.1713 0.2500 0.7583  1 Li 1.92
F 0.3287 0.7500 0.2583  1 Li 1.92
F 0.3448 0.2500 0.5737  1 Li 1.90
F 0.4695 0.2500 0.1066  2 Li 2.08
F 0.5305 0.7500 0.8934  2 Li 2.08
F 0.6552 0.7500 0.4263  1 Li 1.90
F 0.6713 0.2500 0.7417  1 Li 1.92
F 0.8287 0.7500 0.2417  1 Li 1.92
F 0.8448 0.2500 0.9263  1 Li 1.90
F 0.9695 0.2500 0.3934  2 Li 2.08

## Properties
For the size of the total moment, the calculation gives 0.159 μB per formula unit. The raw formation energy comes out at -2.72 eV per atom.

---

Record 14
# PmNd2Ag2Ge2

Crystalline PmNd2Ag2Ge2 at its relaxed geometry (PBE, Alexandria).

Cell lengths 9.8577, 9.8577, 9.8577 Å; angles 26.96, 26.96, 26.96 degrees
With the nearest neighbours (Å) after each atom.
Fractional coordinates of all 7 atoms:
Pm 0.0000 0.0000 0.0000  6 Ag 3.21, 6 Ge 3.33
Nd 0.1267 0.1267 0.1267  3 Ge 3.09, 3 Ag 3.20
Nd 0.8733 0.8733 0.8733  3 Ge 3.09, 3 Ag 3.20
Ag 0.3970 0.3970 0.3970  3 Ge 2.66
Ag 0.6030 0.6030 0.6030  3 Ge 2.66
Ge 0.2625 0.2625 0.2625  3 Ag 2.66
Ge 0.7375 0.7375 0.7375  3 Ag 2.66

## Properties
For the size of the total moment, the calculation gives 0.000 μB per formula unit. Its formation energy from the elements is -291 kJ/mol of formula units.

---

Record 15
# YAg2Se

Crystalline YAg2Se at its relaxed geometry (PBE, Alexandria).

Cell lengths 6.6808, 6.6808, 6.6808 Å; angles 36.94, 36.94, 36.94 degrees
With the nearest neighbours (Å) after each atom.
Fractional coordinates of all 4 atoms:
Y 0.0000 0.0000 0.0000  3 Se 2.88, 3 Ag 3.00
Ag 0.2403 0.2403 0.2403  3 Ag 2.76, 3 Y 3.00
Ag 0.5052 0.5052 0.5052  3 Ag 2.76, 3 Se 2.97
Se 0.7483 0.7483 0.7483  3 Y 2.88, 3 Ag 2.97

## Properties
For the size of the total moment, the calculation gives 0.000 μB per formula unit. The raw formation energy comes out at -0.52 eV per atom.